# BaP3H

A geometry-optimized BaP3H structure (GGA-PBE, the Alexandria database).

Lattice parameters (Å, degrees): 4.4976 4.4976 4.4976 90.00 90.00 90.00
Closest atoms and distances in Å follow each position.
Element x y z (fractional)
P 0.0000 0.5000 0.0000  2 H 2.25
P 0.0000 0.0000 0.5000  2 H 2.25
P 0.5000 0.0000 0.0000  2 H 2.25
Ba 0.5000 0.5000 0.5000  12 P 3.18
H 0.0000 0.0000 0.0000  6 P 2.25

Summary:
Its electronic total energy is -3.976 eV per atom. Its spin magnetization is 0.0 μB per formula unit. Its density of states at the Fermi level is 0.5664 states/eV per atom. As for the space-group type: Pm-3m. Its offset from the most stable computed form is 0.00 kJ per mole of atoms.

***

# TaBRu3

A geometry-optimized TaBRu3 structure (GGA-PBE, the Alexandria database).

Lattice parameters (Å, degrees): 5.3486 5.4462 5.3375 90.43 64.42 106.02
Closest atoms and distances in Å follow each position.
Element x y z (fractional)
Ru 0.8416 0.1909 0.4689  1 B 2.29
Ru 0.2105 0.4992 0.6567  2 B 2.11-2.17
Ru 0.2881 0.0385 0.4937  2 B 2.09-2.19
Ru 0.7922 0.0365 0.9862  2 B 2.09-2.22
Ru 0.7046 0.5056 0.1753  2 B 2.11-2.15
Ru 0.2591 0.6532 0.1404  1 B 2.15
B 0.0844 0.7921 0.8956  5 Ru 2.11-2.22, 1 Ta 2.35
B 0.5769 0.8205 0.3831  5 Ru 2.09-2.29
Ta 0.3481 0.1849 0.9693  1 B 2.35
Ta 0.7832 0.6764 0.6386  2 B 2.34-2.49

Summary:
Its electronic total energy is -9.541 eV per atom. Its spin magnetization is 0.0 μB per formula unit. Its density of states at the Fermi level is 0.5822 states/eV per atom. As for the space-group type: P1. The value obtained for the formation energy from the elements is -270 meV/atom.

***

# BaEuSbI

A geometry-optimized BaEuSbI structure (GGA-PBE, the Alexandria database).

Lattice parameters (Å, degrees): 5.9142 5.9142 5.9142 60.00 60.00 60.00
Closest atoms and distances in Å follow each position.
Element x y z (fractional)
Eu 0.5000 0.5000 0.5000  4 Sb 3.62, 4 I 3.62
I 0.2500 0.2500 0.2500  4 Eu 3.62, 4 Ba 3.62
Ba 0.0000 0.0000 0.0000  4 I 3.62, 4 Sb 3.62
Sb 0.7500 0.7500 0.7500  4 Ba 3.62, 4 Eu 3.62

Summary:
Its electronic total energy is -5.636 eV per atom. Its spin magnetization is 7.0 μB per formula unit. Its density of states at the Fermi level is 3.1355 states/eV per atom. As for the space-group type: F-43m. The uncorrected formation energy is -1168.9 meV per atom.

***

# Y2SiHg

A geometry-optimized Y2SiHg structure (GGA-PBE, the Alexandria database).

Lattice parameters (Å, degrees): 4.2738 4.2738 7.3356 73.15 73.15 59.87
Closest atoms and distances in Å follow each position.
Element x y z (fractional)
Hg 0.2500 0.2500 0.2500  6 Y 3.19
Si 0.7500 0.7500 0.7500  6 Y 2.85-2.86
Y 0.0142 0.0142 0.9579  3 Si 2.85-2.86, 3 Hg 3.19
Y 0.4858 0.4858 0.5421  3 Si 2.85-2.86, 3 Hg 3.19

Summary:
Its electronic total energy is -5.165 eV per atom. Its spin magnetization is 0.0 μB per formula unit. Its density of states at the Fermi level is 0.8547 states/eV per atom. As for the space-group type: C2/m. The uncorrected formation energy is -502.2 meV per atom.

***

# Pr6HoTl6

A geometry-optimized Pr6HoTl6 structure (GGA-PBE, the Alexandria database).

Lattice parameters (Å, degrees): 6.7078 6.7078 10.4764 90.00 90.00 117.36
Closest atoms and distances in Å follow each position.
Element x y z (fractional)
Pr 0.0000 0.5000 0.7812  6 Tl 3.20-3.47, 4 Pr 3.48-3.49
Pr 0.5000 0.0000 0.7812  6 Tl 3.20-3.47, 4 Pr 3.48-3.49
Pr 0.5000 0.5000 0.6931  4 Pr 3.48, 6 Tl 3.49-3.58
Pr 0.5000 0.0000 0.2188  6 Tl 3.20-3.47, 4 Pr 3.48-3.49
Pr 0.0000 0.5000 0.2188  6 Tl 3.20-3.47, 4 Pr 3.48-3.49
Pr 0.5000 0.5000 0.3069  4 Pr 3.48, 6 Tl 3.49-3.58
Ho 0.0000 0.0000 0.0000  2 Tl 3.19
Tl 0.0000 0.0000 0.6954  1 Ho 3.19, 2 Tl 3.45, 6 Pr 3.47-3.49
Tl 0.0000 0.0000 0.3046  1 Ho 3.19, 2 Tl 3.45, 6 Pr 3.47-3.49
Tl 0.3717 0.6283 0.0000  1 Tl 2.94, 4 Pr 3.20
Tl 0.6283 0.3717 0.0000  1 Tl 2.94, 4 Pr 3.20
Tl 0.2426 0.7574 0.5000  6 Pr 3.42-3.58, 4 Tl 3.45-3.49
Tl 0.7574 0.2426 0.5000  6 Pr 3.42-3.58, 4 Tl 3.45-3.49

Summary:
Its electronic total energy is -3.786 eV per atom. Its spin magnetization is 0.0 μB per formula unit. Its density of states at the Fermi level is 1.1328 states/eV per atom. As for the space-group type: Cmmm. The value obtained for the formation energy from the elements is -135 meV/atom.

***

# Pm3SmCd6

A geometry-optimized Pm3SmCd6 structure (GGA-PBE, the Alexandria database).

Lattice parameters (Å, degrees): 5.2358 9.4118 11.2429 105.49 90.00 90.00
Closest atoms and distances in Å follow each position.
Element x y z (fractional)
Pm 0.2500 0.5243 0.3917  8 Cd 3.19-3.49
Pm 0.7500 0.4757 0.6083  8 Cd 3.19-3.49
Pm 0.2500 0.3499 0.7877  8 Cd 3.21-3.37
Pm 0.7500 0.6501 0.2123  8 Cd 3.21-3.37
Pm 0.2500 0.7637 0.0027  8 Cd 3.18-3.36
Pm 0.7500 0.2363 0.9973  8 Cd 3.18-3.36
Sm 0.2500 0.9436 0.6090  8 Cd 3.13-3.36
Sm 0.7500 0.0564 0.3910  8 Cd 3.13-3.36
Cd 0.2500 0.4497 0.0912  7 Pm 3.26-3.36, 3 Cd 3.35-3.60
Cd 0.7500 0.5503 0.9088  7 Pm 3.26-3.36, 3 Cd 3.35-3.60
Cd 0.2500 0.1448 0.1915  8 Cd 3.17-3.35
Cd 0.7500 0.8552 0.8085  8 Cd 3.17-3.35
Cd 0.2500 0.6633 0.7091  1 Sm 3.13, 5 Pm 3.18-3.46, 2 Cd 3.21
Cd 0.7500 0.3367 0.2908  1 Sm 3.13, 5 Pm 3.18-3.46, 2 Cd 3.21
Cd 0.2500 0.2367 0.4918  3 Sm 3.16-3.36, 4 Pm 3.20-3.47, 1 Cd 3.25
Cd 0.7500 0.7633 0.5082  3 Sm 3.16-3.36, 4 Pm 3.20-3.47, 1 Cd 3.25
Cd 0.2500 0.8553 0.3068  3 Sm 3.22-3.28, 4 Pm 3.26-3.49, 1 Cd 3.32
Cd 0.7500 0.1447 0.6932  3 Sm 3.22-3.28, 4 Pm 3.26-3.49, 1 Cd 3.32
Cd 0.2500 0.0507 0.8989  1 Sm 3.14, 3 Cd 3.17-3.21, 4 Pm 3.18-3.37
Cd 0.7500 0.9493 0.1011  1 Sm 3.14, 3 Cd 3.17-3.21, 4 Pm 3.18-3.37

Summary:
Its electronic total energy is -2.743 eV per atom. Its spin magnetization is 0.3 μB per formula unit. Its density of states at the Fermi level is 0.8562 states/eV per atom. As for the space-group type: P2_1/m. The value obtained for the formation energy from the elements is -297 meV/atom.

***

# SrAs2P

A geometry-optimized SrAs2P structure (GGA-PBE, the Alexandria database).

Lattice parameters (Å, degrees): 5.9512 5.9512 5.9512 139.19 139.19 59.09
Closest atoms and distances in Å follow each position.
Element x y z (fractional)
As 0.0000 0.0000 0.0000  4 As 2.93
As 0.5000 0.5000 0.0000  4 As 2.93
P 0.2500 0.7500 0.5000  4 Sr 2.93
Sr 0.7500 0.2500 0.5000  4 P 2.93

Summary:
Its electronic total energy is -4.241 eV per atom. Its spin magnetization is 0.0 μB per formula unit. Its density of states at the Fermi level is 0.6752 states/eV per atom. As for the space-group type: I4/mmm. The value obtained for the formation energy from the elements is -144 meV/atom.

***

# TbSnSeO2

A geometry-optimized TbSnSeO2 structure (GGA-PBE, the Alexandria database).

Lattice parameters (Å, degrees): 4.0850 6.5575 7.5562 109.88 90.00 90.00
Closest atoms and distances in Å follow each position.
Element x y z (fractional)
Tb 0.2500 0.6795 0.9284  4 O 2.27-2.32
Tb 0.7500 0.3205 0.0716  4 O 2.27-2.32
Sn 0.2500 0.6828 0.4302  4 O 2.20-2.27
Sn 0.7500 0.3172 0.5698  4 O 2.20-2.27
Se 0.2500 0.0426 0.7821  1 Sn 2.89, 3 Tb 2.95-3.09, 1 O 3.17
Se 0.7500 0.9574 0.2179  1 Sn 2.89, 3 Tb 2.95-3.09, 1 O 3.17
O 0.7500 0.5215 0.3911  3 Sn 2.20-2.27, 1 Tb 2.32
O 0.2500 0.4785 0.6089  3 Sn 2.20-2.27, 1 Tb 2.32
O 0.7500 0.5178 0.8701  1 Sn 2.20, 3 Tb 2.27-2.31
O 0.2500 0.4822 0.1299  1 Sn 2.20, 3 Tb 2.27-2.31

Summary:
Its electronic total energy is -6.397 eV per atom. Its spin magnetization is 0.0 μB per formula unit. Its density of states at the Fermi level is 0.4500 states/eV per atom. As for the space-group type: P2_1/m. The uncorrected formation energy is -1990.6 meV per atom.

***

# AsP2Br

A geometry-optimized AsP2Br structure (GGA-PBE, the Alexandria database).

Lattice parameters (Å, degrees): 5.6363 5.6363 5.6363 145.64 128.14 63.70
Closest atoms and distances in Å follow each position.
Element x y z (fractional)
As 0.7500 0.2500 0.5000  4 P 2.55
Br 0.2500 0.7500 0.5000  4 As 2.97, 8 P 3.13-3.31, 2 Br 3.33
P 0.9511 0.9511 0.0000  2 As 2.55
P 0.5489 0.5489 0.0000  2 As 2.55

Summary:
Its electronic total energy is -3.563 eV per atom. Its spin magnetization is 0.0 μB per formula unit. Its density of states at the Fermi level is 0.3892 states/eV per atom. As for the space-group type: Immm. Its offset from the most stable computed form is 60.37 kJ per mole of atoms. The uncorrected formation energy is 722.0 meV per atom.

***

# Tb6CdPd

A geometry-optimized Tb6CdPd structure (GGA-PBE, the Alexandria database).

Lattice parameters (Å, degrees): 7.0546 7.1034 7.2515 61.04 61.35 59.90
Closest atoms and distances in Å follow each position.
Element x y z (fractional)
Tb 0.0405 0.4297 0.7535  1 Pd 2.77, 1 Cd 3.03
Tb 0.7756 0.0362 0.7525  1 Pd 2.77, 1 Cd 3.02
Tb 0.5700 0.2217 0.2480  1 Pd 2.76, 1 Cd 3.02
Tb 0.2244 0.9638 0.2475  1 Pd 2.77, 1 Cd 3.02
Tb 0.9595 0.5703 0.2465  1 Pd 2.77, 1 Cd 3.03
Tb 0.4300 0.7783 0.7520  1 Pd 2.76, 1 Cd 3.02
Cd 0.5000 0.5000 0.5000  6 Tb 3.02-3.03
Pd 0.0000 0.0000 0.0000  6 Tb 2.76-2.77

Summary:
Its electronic total energy is -4.231 eV per atom. Its spin magnetization is 0.0 μB per formula unit. Its density of states at the Fermi level is 1.6484 states/eV per atom. As for the space-group type: P-1. The value obtained for the formation energy from the elements is 5 meV/atom.

***

# ScMnFeTc

A geometry-optimized ScMnFeTc structure (GGA-PBE, the Alexandria database).

Lattice parameters (Å, degrees): 4.2759 4.2759 4.2759 60.00 60.00 60.00
Closest atoms and distances in Å follow each position.
Element x y z (fractional)
Sc 0.7500 0.7500 0.7500  4 Mn 2.62, 4 Fe 2.62
Mn 0.0000 0.0000 0.0000  4 Tc 2.62, 4 Sc 2.62
Tc 0.2500 0.2500 0.2500  4 Mn 2.62, 4 Fe 2.62
Fe 0.5000 0.5000 0.5000  4 Sc 2.62, 4 Tc 2.62

Summary:
Its electronic total energy is -8.539 eV per atom. Its spin magnetization is 1.3 μB per formula unit. Its density of states at the Fermi level is 0.9762 states/eV per atom. As for the space-group type: F-43m. The value obtained for the formation energy from the elements is 44 meV/atom.

***

# Ru3IO

A geometry-optimized Ru3IO structure (GGA-PBE, the Alexandria database).

Lattice parameters (Å, degrees): 4.2122 4.2122 4.2122 90.00 90.00 90.00
Closest atoms and distances in Å follow each position.
Element x y z (fractional)
I 0.5000 0.5000 0.5000  12 Ru 2.98
Ru 0.0000 0.5000 0.0000  2 O 2.11
Ru 0.0000 0.0000 0.5000  2 O 2.11
Ru 0.5000 0.0000 0.0000  2 O 2.11
O 0.0000 0.0000 0.0000  6 Ru 2.11

Summary:
Its electronic total energy is -6.081 eV per atom. Its spin magnetization is 0.0 μB per formula unit. Its density of states at the Fermi level is 1.1473 states/eV per atom. As for the space-group type: Pm-3m. Its offset from the most stable computed form is 0.00 kJ per mole of atoms. The uncorrected formation energy is 786.6 meV per atom.

***

The highest electronic total energy belongs to which entry?
Pm3SmCd6

***

Number 9 is which compound?
AsP2Br

***

Copy entry 5 word for word.
# Pr6HoTl6

A geometry-optimized Pr6HoTl6 structure (GGA-PBE, the Alexandria database).

Lattice parameters (Å, degrees): 6.7078 6.7078 10.4764 90.00 90.00 117.36
Closest atoms and distances in Å follow each position.
Element x y z (fractional)
Pr 0.0000 0.5000 0.7812  6 Tl 3.20-3.47, 4 Pr 3.48-3.49
Pr 0.5000 0.0000 0.7812  6 Tl 3.20-3.47, 4 Pr 3.48-3.49
Pr 0.5000 0.5000 0.6931  4 Pr 3.48, 6 Tl 3.49-3.58
Pr 0.5000 0.0000 0.2188  6 Tl 3.20-3.47, 4 Pr 3.48-3.49
Pr 0.0000 0.5000 0.2188  6 Tl 3.20-3.47, 4 Pr 3.48-3.49
Pr 0.5000 0.5000 0.3069  4 Pr 3.48, 6 Tl 3.49-3.58
Ho 0.0000 0.0000 0.0000  2 Tl 3.19
Tl 0.0000 0.0000 0.6954  1 Ho 3.19, 2 Tl 3.45, 6 Pr 3.47-3.49
Tl 0.0000 0.0000 0.3046  1 Ho 3.19, 2 Tl 3.45, 6 Pr 3.47-3.49
Tl 0.3717 0.6283 0.0000  1 Tl 2.94, 4 Pr 3.20
Tl 0.6283 0.3717 0.0000  1 Tl 2.94, 4 Pr 3.20
Tl 0.2426 0.7574 0.5000  6 Pr 3.42-3.58, 4 Tl 3.45-3.49
Tl 0.7574 0.2426 0.5000  6 Pr 3.42-3.58, 4 Tl 3.45-3.49

Summary:
Its electronic total energy is -3.786 eV per atom. Its spin magnetization is 0.0 μB per formula unit. Its density of states at the Fermi level is 1.1328 states/eV per atom. As for the space-group type: Cmmm. The value obtained for the formation energy from the elements is -135 meV/atom.

***

Copy entry 12 word for word.
# Ru3IO

A geometry-optimized Ru3IO structure (GGA-PBE, the Alexandria database).

Lattice parameters (Å, degrees): 4.2122 4.2122 4.2122 90.00 90.00 90.00
Closest atoms and distances in Å follow each position.
Element x y z (fractional)
I 0.5000 0.5000 0.5000  12 Ru 2.98
Ru 0.0000 0.5000 0.0000  2 O 2.11
Ru 0.0000 0.0000 0.5000  2 O 2.11
Ru 0.5000 0.0000 0.0000  2 O 2.11
O 0.0000 0.0000 0.0000  6 Ru 2.11

Summary:
Its electronic total energy is -6.081 eV per atom. Its spin magnetization is 0.0 μB per formula unit. Its density of states at the Fermi level is 1.1473 states/eV per atom. As for the space-group type: Pm-3m. Its offset from the most stable computed form is 0.00 kJ per mole of atoms. The uncorrected formation energy is 786.6 meV per atom.